No. 1
DFT (GGA-PBE) results for crystalline IrRu2Se at its relaxed geometry.

Structure (POSCAR):
```
IrRu2Se
1.0
4.635 0.002 0.000
-1.206 4.475 0.000
0.000 0.000 2.850
Ru Se Ir
2 1 1
Direct
0.500 0.500 0.000
0.000 0.000 0.000
0.500 0.000 0.500
0.000 0.500 0.500
```

Properties
The space-group type is Cmmm (65). The value obtained for the formation energy (no corrections) is 0.3737 eV/atom.



No. 2
DFT (GGA-PBE) results for crystalline IrRu2Se at its relaxed geometry.

Structure (POSCAR):
```
IrRu2Se
1.0
-1.480 -2.349 -3.647
-2.601 -2.604 2.732
-2.153 1.830 -0.305
Ir Se Ru
1 1 2
Direct
0.000 0.500 0.500
0.500 0.000 0.500
0.000 0.000 0.000
0.500 0.500 0.000
```

Properties
The space-group type is P4/mmm (123). The value obtained for the formation energy (no corrections) is 0.4166 eV/atom.



No. 3
DFT (GGA-PBE) results for crystalline IrRu2Se at its relaxed geometry.

Structure (POSCAR):
```
IrRu2Se
1.0
-1.558 -2.373 0.258
1.710 -1.450 -3.005
3.980 -2.248 3.349
Ru Se Ir
2 1 1
Direct
0.500 0.500 0.256
0.000 0.000 0.005
0.000 0.000 0.455
0.500 0.500 0.784
```

Properties
The space-group type is Pmm2 (25). The value obtained for the formation energy (no corrections) is 0.3457 eV/atom.



No. 4
DFT (GGA-PBE) results for crystalline IrRu2Se at its relaxed geometry.

Structure (POSCAR):
```
IrRu2Se
1.0
-1.421 2.596 -4.384
-4.919 -0.496 -1.879
3.151 1.456 3.991
Ru Se Ir
2 1 1
Direct
0.724 0.224 0.500
0.999 0.999 0.000
0.503 0.503 0.000
0.274 0.774 0.500
```

Properties
The space-group type is Imm2 (44). The value obtained for the formation energy (no corrections) is 0.3673 eV/atom.



No. 5
DFT (GGA-PBE) results for crystalline IrRu2Se at its relaxed geometry.

Structure (POSCAR):
```
IrRu2Se
1.0
3.949 0.000 0.000
0.000 2.862 0.000
0.000 1.432 5.279
Ir Ru Se
1 2 1
Direct
0.500 0.556 0.764
0.500 0.308 0.258
0.000 0.931 0.012
0.000 0.705 0.466
```

Properties
The space-group type is Amm2 (38). The value obtained for the formation energy (no corrections) is 0.2776 eV/atom.



No. 6
DFT (GGA-PBE) results for crystalline IrRu2Se at its relaxed geometry.

Structure (POSCAR):
```
IrRu2Se
1.0
-7.520 -2.982 -2.552
-6.784 -5.043 -0.715
-8.050 -2.665 0.238
Ru Ir Se
2 1 1
Direct
0.503 0.503 0.503
0.997 0.997 0.997
0.750 0.750 0.750
0.250 0.250 0.250
```

Properties
The space-group type is R-3m (166). The value obtained for the formation energy (no corrections) is 0.2731 eV/atom.